NpPa2In9 PBE optimized geometry; E_form = -0.092 eV/atom
1.0
-4.589 -0.633 0.508
0.436 -4.381 -1.528
2.052 -4.365 13.098
Np Pa In
1 2 9
Direct
0.000 0.000 0.000
0.000 0.000 0.333
0.000 0.000 0.667
0.500 0.500 0.000
0.500 0.500 0.333
0.500 0.500 0.667
0.500 0.000 0.166
0.500 0.000 0.500
0.500 0.000 0.834
0.000 0.500 0.166
0.000 0.500 0.500
0.000 0.500 0.834